[1]
Sr2PmP3Pt12: optimized geometry, PBE-GGA.

Properties
The calculation puts the formation enthalpy at 0 K at -0.378 eV per atom. Its calculated total energy is -103.64 eV for the cell shown. As for the space-group type: R-3m.

Lattice parameters (Å, degrees): 7.8244 7.8244 7.8244 64.83 64.83 64.83
Fractional coordinates of all 18 atoms:
Sr (0.0979, 0.0979, 0.0979)
Sr (0.9021, 0.9021, 0.9021)
Pm (0.5000, 0.5000, 0.5000)
P (0.0000, 0.5000, 0.5000)
P (0.5000, 0.0000, 0.5000)
P (0.5000, 0.5000, 0.0000)
Pt (0.0964, 0.6382, 0.6382)
Pt (0.1664, 0.1664, 0.5969)
Pt (0.1664, 0.5969, 0.1664)
Pt (0.3618, 0.3618, 0.9036)
Pt (0.3618, 0.9036, 0.3618)
Pt (0.4031, 0.8336, 0.8336)
Pt (0.5969, 0.1664, 0.1664)
Pt (0.6382, 0.0963, 0.6382)
Pt (0.6382, 0.6382, 0.0964)
Pt (0.8336, 0.4031, 0.8336)
Pt (0.8336, 0.8336, 0.4031)
Pt (0.9036, 0.3618, 0.3618)

***

[2]
Ba2HgRh: optimized geometry, PBE-GGA.

Properties
The calculation puts the formation enthalpy at 0 K at -0.254 eV per atom. Its calculated total energy is -12.51 eV for the cell shown. As for the space-group type: P4/mmm.

Lattice parameters (Å, degrees): 3.9288 3.9288 8.2663 90.00 90.00 90.00
Fractional coordinates of all 4 atoms:
Ba (0.0000, 0.0000, 0.2171)
Ba (0.0000, 0.0000, 0.7829)
Hg (0.5000, 0.5000, 0.5000)
Rh (0.5000, 0.5000, 0.0000)

***

[3]
Sr2Sn3SbAu4: optimized geometry, PBE-GGA.

Properties
Its calculated total energy is -38.10 eV for the cell shown. The energy relative to the elements, uncorrected is -0.550 eV per atom. As for the space-group type: P-4m2.

Lattice parameters (Å, degrees): 4.8069 4.8069 11.3379 90.00 90.00 90.00
Fractional coordinates of all 10 atoms:
Sr (0.0000, 0.5000, 0.2374)
Sr (0.5000, 0.0000, 0.7626)
Sn (0.0000, 0.5000, 0.8747)
Sn (0.5000, 0.0000, 0.1253)
Sn (0.5000, 0.5000, 0.5000)
Sb (0.0000, 0.0000, 0.5000)
Au (0.0000, 0.0000, 0.0000)
Au (0.0000, 0.5000, 0.6376)
Au (0.5000, 0.0000, 0.3624)
Au (0.5000, 0.5000, 0.0000)

***

[4]
Tb2SmDy9: optimized geometry, PBE-GGA.

Properties
The calculation puts the formation enthalpy at 0 K at 0.020 eV per atom. Its calculated total energy is -55.16 eV for the cell shown. As for the space-group type: P4/mmm.

Lattice parameters (Å, degrees): 5.0238 5.0238 15.0651 90.00 90.00 90.00
Fractional coordinates of all 12 atoms:
Tb (0.0000, 0.0000, 0.1663)
Tb (0.0000, 0.0000, 0.8337)
Sm (0.0000, 0.0000, 0.5000)
Dy (0.0000, 0.5000, 0.0000)
Dy (0.0000, 0.5000, 0.3324)
Dy (0.0000, 0.5000, 0.6676)
Dy (0.5000, 0.0000, 0.0000)
Dy (0.5000, 0.0000, 0.3324)
Dy (0.5000, 0.0000, 0.6676)
Dy (0.5000, 0.5000, 0.1660)
Dy (0.5000, 0.5000, 0.5000)
Dy (0.5000, 0.5000, 0.8340)

***

[5]
Sm3UAg3Se8: optimized geometry, PBE-GGA.

Properties
Its calculated total energy is -79.13 eV for the cell shown. The energy relative to the elements, uncorrected is -1.151 eV per atom. As for the space-group type: C2/m.

Lattice parameters (Å, degrees): 8.0438 8.0438 8.0666 116.30 116.30 63.82
Fractional coordinates of all 15 atoms:
Sm (0.0000, 0.0000, 0.0000)
Sm (0.0000, 0.5000, 0.5000)
Sm (0.5000, 0.0000, 0.5000)
U (0.5000, 0.5000, 0.0000)
Ag (0.0000, 0.5000, 0.0000)
Ag (0.5000, 0.0000, 0.0000)
Ag (0.5000, 0.5000, 0.5000)
Se (0.2516, 0.2516, 0.2497)
Se (0.2553, 0.2553, 0.7549)
Se (0.2553, 0.7438, 0.2434)
Se (0.2562, 0.7447, 0.7566)
Se (0.7438, 0.2553, 0.2434)
Se (0.7447, 0.2562, 0.7566)
Se (0.7447, 0.7447, 0.2451)
Se (0.7484, 0.7484, 0.7503)

***

[6]
Sn2S2F: optimized geometry, PBE-GGA.

Properties
Its calculated total energy is -20.43 eV for the cell shown. The energy relative to the elements, uncorrected is -0.459 eV per atom. As for the space-group type: I4/mmm.

Lattice parameters (Å, degrees): 6.0887 6.0887 6.0887 130.88 130.88 72.01
Fractional coordinates of all 5 atoms:
Sn (0.2500, 0.7500, 0.5000)
Sn (0.7500, 0.2500, 0.5000)
S (0.1590, 0.1590, 0.0000)
S (0.8410, 0.8410, 0.0000)
F (0.5000, 0.5000, 0.0000)

***

[7]
TaAgOs: optimized geometry, PBE-GGA.

Properties
The calculation puts the formation enthalpy at 0 K at 0.257 eV per atom. Its calculated total energy is -25.16 eV for the cell shown. As for the space-group type: P3m1.

Lattice parameters (Å, degrees): 4.5445 4.5445 2.7702 90.00 90.00 120.00
Fractional coordinates of all 3 atoms:
Ta (0.0000, 0.0000, 0.0000)
Ag (0.6667, 0.3333, 0.3529)
Os (0.3333, 0.6667, 0.7345)

***

[8]
LiIn2Au: optimized geometry, PBE-GGA.

Properties
The calculation puts the formation enthalpy at 0 K at -0.146 eV per atom. Its calculated total energy is -11.25 eV for the cell shown. As for the space-group type: R-3m.

Lattice parameters (Å, degrees): 8.8812 8.8812 8.8812 22.43 22.43 22.43
Fractional coordinates of all 4 atoms:
Li (0.0000, 0.0000, 0.0000)
In (0.2477, 0.2477, 0.2477)
In (0.7523, 0.7523, 0.7523)
Au (0.5000, 0.5000, 0.5000)

***

Q: What is the calculated total energy in the fifth record?
A: -79.13 eV for the cell shown